No. 1
Material: Ba2TlZnSn
Method: DFT, GGA-PBE
State: relaxed

Calculated values
Crystal system: tetragonal
D(E_F) in states/eV per atom: 1.81
Raw total energy in eV/cell: -11.89
Energy relative to the elements in eV per atom: -0.081
Magnetic moment in μB/f.u.: 0.00

abc: 6.309 5.066 6.309
angles: 90.00 90.00 90.00
Sites, in units of the cell vectors:
Zn 0.000 0.000 0.000
Tl 0.000 0.500 0.000
Ba 0.000 0.000 0.500
Ba 0.500 0.000 0.000
Sn 0.500 0.500 0.500


No. 2
Material: MnBN3
Method: DFT, GGA-PBE
State: relaxed

Calculated values
Energy relative to the elements, uncorrected in eV/atom: 1.916
Crystal system: cubic
D(E_F) in states/eV per atom: 0.81
Raw total energy in eV/cell: -31.24
Magnetic moment in μB/f.u.: 0.00

abc: 3.635 3.635 3.635
angles: 90.00 90.00 90.00
Sites, in units of the cell vectors:
B 0.500 0.500 0.500
Mn 0.000 0.000 0.000
N 0.000 0.500 0.000
N 0.000 0.000 0.500
N 0.500 0.000 0.000


No. 3
Material: LiAcThTl
Method: DFT, GGA-PBE
State: relaxed

Calculated values
Crystal system: cubic
D(E_F) in states/eV per atom: 0.98
Raw total energy in eV/cell: -15.77
Energy relative to the elements in eV per atom: 0.010
Magnetic moment in μB/f.u.: 0.00

abc: 5.584 5.584 5.584
angles: 60.00 60.00 60.00
Sites, in units of the cell vectors:
Ac 0.250 0.250 0.250
Tl 0.500 0.500 0.500
Th 0.750 0.750 0.750
Li 0.000 0.000 0.000


No. 4
Material: LaTl2Cl
Method: DFT, GGA-PBE
State: relaxed

Calculated values
Energy relative to the elements, uncorrected in eV/atom: -0.687
Crystal system: orthorhombic
D(E_F) in states/eV per atom: 0.62
Raw total energy in eV/cell: -14.26
Relative energy among the computed polymorphs in kJ/mol of formula units: 43
Magnetic moment in μB/f.u.: 0.00

abc: 6.714 6.714 6.714
angles: 148.30 128.25 61.97
Sites, in units of the cell vectors:
Tl 0.013 0.013 0.000
Tl 0.745 0.245 0.500
Cl 0.466 0.466 0.000
La 0.277 0.777 0.500


No. 5
Material: Pr6Zn2Au
Method: DFT, GGA-PBE
State: relaxed

Calculated values
Crystal system: monoclinic
D(E_F) in states/eV per atom: 1.43
Raw total energy in eV/cell: -72.37
Energy relative to the elements in eV per atom: -0.187
Magnetic moment in μB/f.u.: 0.00

abc: 6.561 8.418 9.996
angles: 90.00 84.83 90.00
Sites, in units of the cell vectors:
Pr 0.846 0.943 0.230
Pr 0.849 0.657 0.556
Pr 0.883 0.701 0.931
Pr 0.617 0.201 0.569
Pr 0.651 0.157 0.944
Pr 0.654 0.443 0.270
Pr 0.154 0.057 0.770
Pr 0.151 0.343 0.444
Pr 0.117 0.299 0.069
Pr 0.383 0.799 0.431
Pr 0.349 0.843 0.056
Pr 0.346 0.557 0.730
Zn 0.923 0.384 0.760
Zn 0.577 0.884 0.740
Zn 0.423 0.116 0.260
Zn 0.077 0.616 0.240
Au 0.500 0.500 0.000
Au 0.000 0.000 0.500


No. 6
Material: SrZr2Cd
Method: DFT, GGA-PBE
State: relaxed

Calculated values
Crystal system: cubic
D(E_F) in states/eV per atom: 0.68
Raw total energy in eV/cell: -18.26
Energy relative to the elements in eV per atom: 0.359
Magnetic moment in μB/f.u.: 2.10

abc: 5.320 5.320 5.320
angles: 60.00 60.00 60.00
Each line ends with the local moment (μB).
Sites, in units of the cell vectors:
Cd 0.500 0.500 0.500  -0.03
Sr 0.750 0.750 0.750  0.03
Zr 0.000 0.000 0.000  0.84
Zr 0.250 0.250 0.250  0.53


No. 7
Material: Tl4InBr5
Method: DFT, GGA-PBE
State: relaxed

Calculated values
Energy relative to the elements, uncorrected in eV/atom: -0.819
Crystal system: tetragonal
D(E_F) in states/eV per atom: 0.00
Raw total energy in eV/cell: -28.76
Magnetic moment in μB/f.u.: 0.00

abc: 6.737 8.250 8.250
angles: 80.41 65.91 65.91
Sites, in units of the cell vectors:
Tl 0.401 0.399 0.799
Tl 0.800 0.799 0.601
Tl 0.200 0.201 0.399
Tl 0.600 0.601 0.201
In 0.002 0.000 0.000
Br 0.900 0.398 0.801
Br 0.298 0.801 0.602
Br 0.702 0.199 0.398
Br 0.100 0.602 0.199
Br 0.507 0.000 0.000


No. 8
Material: Dy6Tl3Cd
Method: DFT, GGA-PBE
State: relaxed

Calculated values
Crystal system: monoclinic
D(E_F) in states/eV per atom: 1.11
Raw total energy in eV/cell: -76.18
Energy relative to the elements in eV per atom: -0.246
Magnetic moment in μB/f.u.: 0.00

abc: 5.348 9.408 11.671
angles: 107.78 90.00 90.00
Sites, in units of the cell vectors:
Dy 0.250 0.462 0.092
Dy 0.750 0.538 0.908
Dy 0.250 0.132 0.167
Dy 0.750 0.868 0.833
Dy 0.250 0.660 0.680
Dy 0.750 0.340 0.320
Dy 0.250 0.241 0.498
Dy 0.750 0.759 0.502
Dy 0.250 0.845 0.310
Dy 0.750 0.155 0.690
Dy 0.250 0.099 0.880
Dy 0.750 0.901 0.120
Tl 0.250 0.531 0.388
Tl 0.750 0.469 0.612
Tl 0.250 0.372 0.785
Tl 0.750 0.628 0.215
Tl 0.250 0.778 0.973
Tl 0.750 0.222 0.027
Cd 0.250 0.953 0.604
Cd 0.750 0.047 0.396


No. 9
Material: InB3Br
Method: DFT, GGA-PBE
State: relaxed

Calculated values
Energy relative to the elements, uncorrected in eV/atom: 2.118
Crystal system: cubic
D(E_F) in states/eV per atom: 0.75
Raw total energy in eV/cell: -13.86
Relative energy among the computed polymorphs in kJ/mol of formula units: 0
Magnetic moment in μB/f.u.: 0.00

abc: 4.650 4.650 4.650
angles: 90.00 90.00 90.00
Sites, in units of the cell vectors:
B 0.000 0.500 0.000
B 0.000 0.000 0.500
B 0.500 0.000 0.000
Br 0.500 0.500 0.500
In 0.000 0.000 0.000


No. 10
Material: Pm4Pr7Dy
Method: DFT, GGA-PBE
State: relaxed

Calculated values
Crystal system: monoclinic
D(E_F) in states/eV per atom: 1.62
Raw total energy in eV/cell: -54.60
Energy relative to the elements in eV per atom: 0.205
Relative energy among the computed polymorphs in kJ/mol of formula units: 221
Magnetic moment in μB/f.u.: 0.49

abc: 6.124 9.946 8.796
angles: 60.47 69.63 72.07
Each line ends with the local moment (μB).
Sites, in units of the cell vectors:
Pm 0.573 0.302 0.552  0.01
Pm 0.427 0.698 0.448  0.01
Pm 0.673 0.611 0.044  0.01
Pm 0.327 0.389 0.956  0.01
Pr 0.792 0.876 0.541  0.00
Pr 0.208 0.124 0.459  0.00
Pr 0.082 0.562 0.274  0.01
Pr 0.918 0.438 0.726  0.01
Pr 0.208 0.775 0.809  0.01
Pr 0.500 0.000 0.000  0.14
Pr 0.792 0.225 0.191  0.01
Dy 0.000 0.000 0.000  0.18


No. 11
Material: KTl2Os
Method: DFT, GGA-PBE
State: relaxed

Calculated values
Crystal system: monoclinic
D(E_F) in states/eV per atom: 0.74
Raw total energy in eV/cell: -14.36
Energy relative to the elements in eV per atom: 0.675
Relative energy among the computed polymorphs in kJ/mol of formula units: 48
Magnetic moment in μB/f.u.: 0.00

abc: 4.638 4.638 8.004
angles: 84.68 84.68 37.87
Sites, in units of the cell vectors:
K 0.750 0.750 0.750
Os 0.250 0.250 0.250
Tl 0.987 0.987 0.059
Tl 0.513 0.513 0.441


No. 12
Material: MgZnMo2
Method: DFT, GGA-PBE
State: relaxed

Calculated values
Crystal system: tetragonal
D(E_F) in states/eV per atom: 0.34
Raw total energy in eV/cell: -23.10
Energy relative to the elements in eV per atom: 0.358
Relative energy among the computed polymorphs in kJ/mol of formula units: 89
Magnetic moment in μB/f.u.: 0.00

abc: 3.410 3.410 5.750
angles: 90.00 90.00 90.00
Sites, in units of the cell vectors:
Mg 0.500 0.500 0.750
Mo 0.000 0.000 0.048
Mo 0.000 0.000 0.452
Zn 0.500 0.500 0.250